Density functional theory data (PBE with a Hubbard U) for Cs2MnCF6 after structural relaxation.

```
Cs2MnCF6
1.0
-3.364 3.364 4.086
3.364 -3.364 4.086
3.364 3.364 -4.086
Cs Mn C F
2 1 1 6
direct
0.250 0.750 0.500
0.750 0.250 0.500
0.000 0.000 0.000
0.500 0.500 0.000
0.200 0.200 0.400
0.200 0.800 0.000
0.282 0.282 0.000
0.718 0.718 0.000
0.800 0.200 0.000
0.800 0.800 0.600
```

Properties
E_tot = -46.879 eV for the cell shown